# Cs2NaW2O7

A geometry-optimized Cs2NaW2O7 structure (PBE+U, Alexandria via LeMat-Bulk).

Unit cell a=4.002 b=4.002 c=12.584 alpha=99.10 beta=99.10 gamma=90.00
Fractional positions:
Cs  0.184  0.184  0.370
Cs  0.816  0.816  0.630
Na  0.000  0.000  0.000
W  0.419  0.419  0.837
W  0.581  0.581  0.163
O  0.077  0.577  0.156
O  0.343  0.343  0.685
O  0.423  0.923  0.844
O  0.500  0.500  0.000
O  0.577  0.077  0.156
O  0.657  0.657  0.315
O  0.923  0.423  0.844

Calculated values
space group = C2/m (12)
VASP energy = -6.294 eV per atom
total magnetization = 0.0 μB per cell